1.
Density functional theory data (PBE-GGA) for Sr2Ni2Bi after structural relaxation.

abc: 5.9590 5.9590 5.6711
angles: 58.31 58.31 90.00
Each line ends with the local moment (μB).
Fractional positions:
Sr 0.7500 0.2500 0.5000  -0.01
Sr 0.2500 0.7500 0.5000  -0.01
Bi 0.0000 0.0000 0.0000  0.10
Ni 0.3495 0.3495 0.3011  0.39
Ni 0.6505 0.6505 0.6989  0.39

As for the total magnetic moment: 0.9 μB per cell. The crystal system is tetragonal. The calculation puts the formation energy at -2.36 kcal/mol of atoms. The calculation puts the energy at -19.320 eV for the cell shown.

---

2.
Density functional theory data (PBE-GGA) for Sr2Ni2Bi after structural relaxation.

abc: 7.4046 7.4046 4.5425
angles: 90.00 90.00 90.00
Fractional positions:
Sr 0.1817 0.6817 0.5000
Sr 0.6817 0.8183 0.5000
Sr 0.8183 0.3183 0.5000
Sr 0.3183 0.1817 0.5000
Bi 0.0000 0.0000 0.0000
Bi 0.5000 0.5000 0.0000
Ni 0.3886 0.8886 0.0000
Ni 0.8886 0.6114 0.0000
Ni 0.6114 0.1114 0.0000
Ni 0.1114 0.3886 0.0000

As for the total magnetic moment: 0.0 μB per cell. The crystal system is tetragonal. The calculation puts the formation energy at -4.17 kcal/mol of atoms. The calculation puts the energy at -39.424 eV for the cell shown.

---

3.
Density functional theory data (PBE-GGA) for Sr2NiBi after structural relaxation.

abc: 8.5848 8.5848 6.9550
angles: 51.89 51.89 90.00
Fractional positions:
Sr 0.5713 0.1250 0.2500
Sr 0.1787 0.6250 0.2500
Sr 0.3750 0.4287 0.7500
Sr 0.8750 0.8213 0.7500
Bi 0.0000 0.0000 0.0000
Bi 0.7500 0.2500 0.5000
Ni 0.5000 0.5000 0.0000
Ni 0.2500 0.7500 0.5000

As for the total magnetic moment: 0.0 μB per cell. The crystal system is tetragonal. The calculation puts the formation energy at -2.06 kcal/mol of atoms. The calculation puts the energy at -26.767 eV for the cell shown.

---

4.
Density functional theory data (PBE-GGA) for Sr2NiBi2 after structural relaxation.

abc: 7.6526 7.6526 5.1675
angles: 90.00 90.00 90.00
Fractional positions:
Sr 0.1661 0.6661 0.5000
Sr 0.6661 0.8339 0.5000
Sr 0.8339 0.3339 0.5000
Sr 0.3339 0.1661 0.5000
Bi 0.3472 0.8472 0.0000
Bi 0.8472 0.6528 0.0000
Bi 0.6528 0.1528 0.0000
Bi 0.1528 0.3472 0.0000
Ni 0.0000 0.0000 0.0000
Ni 0.5000 0.5000 0.0000

As for the total magnetic moment: 0.0 μB per cell. The crystal system is tetragonal. The calculation puts the formation energy at -8.38 kcal/mol of atoms. The calculation puts the energy at -37.447 eV for the cell shown.

---

5.
Density functional theory data (PBE-GGA) for Sr4Ni3Bi8 after structural relaxation.

abc: 4.6304 4.6304 20.9768
angles: 90.00 90.00 90.00
Fractional positions:
Sr 0.5000 0.0000 0.3800
Sr 0.5000 0.0000 0.8805
Sr 0.0000 0.5000 0.1195
Sr 0.0000 0.5000 0.6200
Ni 0.5000 0.5000 0.5000
Ni 0.0000 0.0000 0.0000
Ni 0.0000 0.0000 0.5000
Bi 0.5000 0.0000 0.0540
Bi 0.5000 0.0000 0.5620
Bi 0.0000 0.5000 0.4380
Bi 0.0000 0.5000 0.9460
Bi 0.5000 0.5000 0.2510
Bi 0.5000 0.5000 0.7490
Bi 0.0000 0.0000 0.2495
Bi 0.0000 0.0000 0.7505

As for the total magnetic moment: 0.0 μB per cell. The crystal system is tetragonal. The calculation puts the formation energy at -9.28 kcal/mol of atoms. The calculation puts the energy at -61.153 eV for the cell shown.

---

6.
Density functional theory data (PBE-GGA) for SrNi2Bi after structural relaxation.

abc: 4.8996 4.8996 9.4211
angles: 74.93 74.93 90.00
Fractional positions:
Sr 0.5000 0.5000 0.0000
Sr 0.2500 0.7500 0.5000
Bi 0.0000 0.0000 0.0000
Bi 0.7500 0.2500 0.5000
Ni 0.9053 0.1250 0.2500
Ni 0.8447 0.6250 0.2500
Ni 0.3750 0.0947 0.7500
Ni 0.8750 0.1553 0.7500

As for the total magnetic moment: 0.0 μB per cell. The crystal system is tetragonal. The calculation puts the formation energy at 0.20 kcal/mol of atoms. The calculation puts the energy at -34.182 eV for the cell shown.

---

7.
Density functional theory data (PBE-GGA) for SrNi3Bi after structural relaxation.

abc: 4.8302 4.8302 4.8302
angles: 90.00 90.00 90.00
Fractional positions:
Sr 0.0000 0.0000 0.0000
Bi 0.5000 0.5000 0.5000
Ni 0.0000 0.5000 0.0000
Ni 0.0000 0.0000 0.5000
Ni 0.5000 0.0000 0.0000

As for the total magnetic moment: 0.0 μB per cell. The crystal system is cubic. The calculation puts the formation energy at 32.33 kcal/mol of atoms. The calculation puts the energy at -15.898 eV for the cell shown.

---

8.
Density functional theory data (PBE-GGA) for SrNi3Bi after structural relaxation.

abc: 4.8851 4.8851 4.8851
angles: 90.00 90.00 90.00
Each line ends with the local moment (μB).
Fractional positions:
Sr 0.5000 0.5000 0.5000  0.00
Bi 0.0000 0.0000 0.0000  0.02
Ni 0.0000 0.5000 0.0000  0.14
Ni 0.0000 0.0000 0.5000  0.12
Ni 0.5000 0.0000 0.0000  0.21

As for the total magnetic moment: 0.5 μB per cell. The crystal system is cubic. The calculation puts the formation energy at 9.73 kcal/mol of atoms. The calculation puts the energy at -20.797 eV for the cell shown.